(1)
This record from the Alexandria database describes a geometry-optimized Dy3Zn3Cu structure. The functional is PBE.

SG: Imm2, No. 44
Calculated formation energy in meV per atom: -296
Raw total energy in eV for the cell shown: -23.80
Total magnetization in Bohr magnetons per cell: 0.00

a b c (Å): 9.890 9.890 9.890
angles (deg): 159.06 154.09 33.55
Fractional coordinates of all 7 atoms:
Dy  0.000  0.000  0.000
Dy  0.382  0.382  0.000
Dy  0.697  0.197  0.500
Zn  0.129  0.629  0.500
Zn  0.555  0.555  0.000
Zn  0.832  0.832  0.000
Cu  0.259  0.759  0.500

(2)
This record from the Alexandria database describes a geometry-optimized DyZrZnCu structure. The functional is PBE.

SG: F-43m, No. 216
Calculated formation energy in meV per atom: -164
Raw total energy in eV for the cell shown: -19.18
Total magnetization in Bohr magnetons per cell: 1.07

a b c (Å): 4.831 4.831 4.831
angles (deg): 60.00 60.00 60.00
Fractional coordinates of all 4 atoms:
Dy  0.000  0.000  0.000
Zr  0.500  0.500  0.500
Zn  0.250  0.250  0.250
Cu  0.750  0.750  0.750

(3)
This record from the Alexandria database describes a geometry-optimized Dy2ZrCu structure. The functional is PBE.

SG: R-3m, No. 166
Excess energy over the best structure of this formula in the dataset in meV per atom: 419
Calculated formation energy in meV per atom: 341
Raw total energy in eV for the cell shown: -20.48
Total magnetization in Bohr magnetons per cell: 0.00

a b c (Å): 11.029 11.029 11.029
angles (deg): 16.90 16.90 16.90
Fractional coordinates of all 4 atoms:
Dy  0.098  0.098  0.098
Dy  0.902  0.902  0.902
Zr  0.000  0.000  0.000
Cu  0.500  0.500  0.500

(4)
This record from the Alexandria database describes a geometry-optimized Dy2ZrCu6 structure. The functional is PBE.

SG: P6/mmm, No. 191
Calculated formation energy in meV per atom: -187
Raw total energy in eV for the cell shown: -44.01
Total magnetization in Bohr magnetons per cell: 0.00

a b c (Å): 7.447 7.447 3.212
angles (deg): 90.00 90.00 120.00
Fractional coordinates of all 9 atoms:
Dy  0.333  0.667  0.000
Dy  0.667  0.333  0.000
Zr  0.000  0.000  0.000
Cu  0.000  0.330  0.500
Cu  0.000  0.670  0.500
Cu  0.330  0.000  0.500
Cu  0.330  0.330  0.500
Cu  0.670  0.000  0.500
Cu  0.670  0.670  0.500

(5)
This record from the Alexandria database describes a geometry-optimized Dy2ZrCu structure. The functional is PBE.

SG: P4/mmm, No. 123
Excess energy over the best structure of this formula in the dataset in meV per atom: 0
Calculated formation energy in meV per atom: -78
Raw total energy in eV for the cell shown: -22.16
Total magnetization in Bohr magnetons per cell: 0.00

a b c (Å): 3.391 3.391 8.298
angles (deg): 90.00 90.00 90.00
Fractional coordinates of all 4 atoms:
Dy  0.000  0.000  0.218
Dy  0.000  0.000  0.782
Zr  0.500  0.500  0.500
Cu  0.500  0.500  0.000

(6)
This record from the Alexandria database describes a geometry-optimized DyZr2Cu6 structure. The functional is PBE.

SG: P6/mmm, No. 191
Calculated formation energy in meV per atom: -156
Raw total energy in eV for the cell shown: -47.68
Total magnetization in Bohr magnetons per cell: 0.00

a b c (Å): 7.422 7.422 3.083
angles (deg): 90.00 90.00 120.00
Fractional coordinates of all 9 atoms:
Dy  0.000  0.000  0.000
Zr  0.333  0.667  0.000
Zr  0.667  0.333  0.000
Cu  0.000  0.336  0.500
Cu  0.000  0.664  0.500
Cu  0.336  0.000  0.500
Cu  0.336  0.336  0.500
Cu  0.664  0.000  0.500
Cu  0.664  0.664  0.500

(7)
This record from the Alexandria database describes a geometry-optimized Dy5ZrCu4 structure. The functional is PBE.

SG: P4/mmm, No. 123
Calculated formation energy in meV per atom: -181
Raw total energy in eV for the cell shown: -49.75
Total magnetization in Bohr magnetons per cell: 0.00

a b c (Å): 3.435 3.435 18.683
angles (deg): 90.00 90.00 90.00
Fractional coordinates of all 10 atoms:
Dy  0.000  0.000  0.000
Dy  0.000  0.000  0.188
Dy  0.000  0.000  0.376
Dy  0.000  0.000  0.624
Dy  0.000  0.000  0.812
Zr  0.500  0.500  0.500
Cu  0.500  0.500  0.093
Cu  0.500  0.500  0.281
Cu  0.500  0.500  0.719
Cu  0.500  0.500  0.907

(8)
This record from the Alexandria database describes a geometry-optimized Er6Cu5 structure. The functional is PBE.

SG: Immm, No. 71
Calculated formation energy in meV per atom: -200
Raw total energy in eV for the cell shown: -50.06
Total magnetization in Bohr magnetons per cell: 0.00

a b c (Å): 8.370 8.370 8.370
angles (deg): 146.38 131.77 60.08
Fractional coordinates of all 11 atoms:
Er  0.085  0.335  0.750
Er  0.249  0.000  0.249
Er  0.415  0.665  0.750
Er  0.585  0.335  0.250
Er  0.751  0.000  0.751
Er  0.915  0.665  0.250
Cu  0.000  0.500  0.500
Cu  0.169  0.169  0.000
Cu  0.329  0.829  0.500
Cu  0.671  0.171  0.500
Cu  0.831  0.831  0.000

(9)
This record from the Alexandria database describes a geometry-optimized Er3Cu11 structure. The functional is PBE.

SG: Immm, No. 71
Calculated formation energy in meV per atom: -206
Raw total energy in eV for the cell shown: -61.64
Total magnetization in Bohr magnetons per cell: 0.00

a b c (Å): 7.746 7.746 7.746
angles (deg): 148.92 111.87 76.76
Fractional coordinates of all 14 atoms:
Er  0.000  0.000  0.000
Er  0.307  0.307  0.000
Er  0.693  0.693  0.000
Cu  0.032  0.676  0.357
Cu  0.157  0.878  0.279
Cu  0.292  0.500  0.792
Cu  0.319  0.676  0.643
Cu  0.401  0.122  0.279
Cu  0.500  0.000  0.500
Cu  0.599  0.878  0.721
Cu  0.681  0.324  0.357
Cu  0.708  0.500  0.208
Cu  0.843  0.122  0.721
Cu  0.968  0.324  0.643

(10)
This record from the Alexandria database describes a geometry-optimized Er5Cu structure. The functional is PBE.

SG: Cmmm, No. 65
Calculated formation energy in meV per atom: 100
Raw total energy in eV for the cell shown: -26.31
Total magnetization in Bohr magnetons per cell: 0.00

a b c (Å): 7.667 7.667 4.806
angles (deg): 90.00 90.00 145.12
Fractional coordinates of all 6 atoms:
Er  0.000  0.000  0.000
Er  0.158  0.842  0.500
Er  0.332  0.668  0.000
Er  0.668  0.332  0.000
Er  0.842  0.158  0.500
Cu  0.500  0.500  0.500

(11)
This record from the Alexandria database describes a geometry-optimized ErCu11 structure. The functional is PBE.

SG: I4_1/amd, No. 141
Calculated formation energy in meV per atom: -79
Raw total energy in eV for the cell shown: -101.14
Total magnetization in Bohr magnetons per cell: 0.00

a b c (Å): 7.769 7.769 7.769
angles (deg): 100.18 100.18 130.29
Fractional coordinates of all 24 atoms:
Er  0.375  0.625  0.750
Er  0.625  0.375  0.250
Cu  0.000  0.000  0.000
Cu  0.000  0.000  0.500
Cu  0.000  0.500  0.000
Cu  0.125  0.875  0.250
Cu  0.136  0.558  0.334
Cu  0.136  0.802  0.578
Cu  0.198  0.276  0.334
Cu  0.198  0.864  0.922
Cu  0.276  0.198  0.834
Cu  0.276  0.442  0.078
Cu  0.442  0.276  0.578
Cu  0.442  0.864  0.166
Cu  0.500  0.000  0.500
Cu  0.558  0.136  0.834
Cu  0.558  0.724  0.422
Cu  0.724  0.558  0.922
Cu  0.724  0.802  0.166
Cu  0.802  0.136  0.078
Cu  0.802  0.724  0.666
Cu  0.864  0.198  0.422
Cu  0.864  0.442  0.666
Cu  0.875  0.125  0.750

(12)
This record from the Alexandria database describes a geometry-optimized Er2Cu7 structure. The functional is PBE.

SG: R-3m, No. 166
Calculated formation energy in meV per atom: -208
Raw total energy in eV for the cell shown: -79.33
Total magnetization in Bohr magnetons per cell: 0.00

a b c (Å): 12.666 12.666 12.666
angles (deg): 23.23 23.23 23.23
Fractional coordinates of all 18 atoms:
Er  0.050  0.050  0.050
Er  0.148  0.148  0.148
Er  0.852  0.852  0.852
Er  0.950  0.950  0.950
Cu  0.000  0.500  0.500
Cu  0.108  0.611  0.611
Cu  0.278  0.278  0.278
Cu  0.388  0.388  0.388
Cu  0.389  0.389  0.892
Cu  0.389  0.892  0.389
Cu  0.500  0.000  0.500
Cu  0.500  0.500  0.000
Cu  0.500  0.500  0.500
Cu  0.611  0.108  0.611
Cu  0.611  0.611  0.108
Cu  0.612  0.612  0.612
Cu  0.722  0.722  0.722
Cu  0.892  0.389  0.389